# Pm3Pu2PaP6 (PBE, relaxed)
# N(E_F) = 1.91 states/eV per atom
# ρ = 7.9 g cm⁻³
# electronic total energy = -101.66 eV/f.u.
# formation energy = -1.399 eV per atom
# size of the total moment = 0.8835 μB per atom
data_Pm3Pu2PaP6
_chemical_formula_sum 'Pm6 Pu4 Pa2 P12'
_symmetry_space_group_name_H-M 'C 1 2/m 1'
_symmetry_Int_Tables_number 12
_cell_length_a 7.026
_cell_length_b 12.172
_cell_length_c 7.029
_cell_angle_alpha 90.00
_cell_angle_beta 109.47
_cell_angle_gamma 90.00
loop_
_symmetry_equiv_pos_as_xyz
'x,y,z'
'-x,-y,-z'
'-x,y,-z'
'x,-y,z'
'x+1/2,y+1/2,z'
'-x+1/2,-y+1/2,-z'
'-x+1/2,y+1/2,-z'
'x+1/2,-y+1/2,z'
loop_
_atom_site_label
_atom_site_type_symbol
_atom_site_fract_x
_atom_site_fract_y
_atom_site_fract_z
Pm1 Pm 0.000 0.000 0.000
Pm2 Pm 0.000 0.332 0.000
Pu1 Pu 0.000 0.166 0.500
Pa1 Pa 0.000 0.500 0.500
P1 P 0.244 0.335 0.737
P2 P 0.249 0.000 0.737